{
  "formula": "LiCaPuSi",
  "functional": "PBE",
  "state": "optimized geometry",
  "cell": [[0.0000, 3.5810, 3.5810], [3.5810, 0.0000, 3.5810], [3.5810, 3.5810, 0.0000]],
  "species": ["Li", "Ca", "Pu", "Si"],
  "fractional_positions": [[0.0000, 0.0000, 0.0000], [0.2500, 0.2500, 0.2500], [0.7500, 0.7500, 0.7500], [0.5000, 0.5000, 0.5000]],
  "e_form_raw_mev_per_atom": -97,
  "space_group": "No. 216"
}

{
  "formula": "LiCaPuSn",
  "functional": "PBE",
  "state": "optimized geometry",
  "cell": [[0.0000, 3.7847, 3.7847], [3.7847, 0.0000, 3.7847], [3.7847, 3.7847, 0.0000]],
  "species": ["Li", "Ca", "Pu", "Sn"],
  "fractional_positions": [[0.0000, 0.0000, 0.0000], [0.7500, 0.7500, 0.7500], [0.2500, 0.2500, 0.2500], [0.5000, 0.5000, 0.5000]],
  "e_form_ev_per_atom": -0.201,
  "space_group": "No. 216"
}

{
  "formula": "LiCa2PuTe4",
  "functional": "PBE",
  "state": "optimized geometry",
  "cell": [[7.6852, 0.0000, 0.0000], [0.0000, 4.4827, 0.0000], [-2.5237, 0.0000, 7.2689]],
  "species": ["Li", "Ca", "Ca", "Pu", "Te", "Te", "Te", "Te"],
  "fractional_positions": [[0.0000, 0.0000, 0.0000], [0.0000, 0.5000, 0.5000], [0.5000, 0.0000, 0.5000], [0.5000, 0.5000, 0.0000], [0.2461, 0.5000, 0.2419], [0.2492, 0.0000, 0.7587], [0.7508, 0.0000, 0.2413], [0.7539, 0.5000, 0.7581]],
  "e_form_raw_mev_per_atom": -1293,
  "space_group": "No. 10"
}

{
  "formula": "LiCa3Pu2Te6",
  "functional": "PBE",
  "state": "optimized geometry",
  "cell": [[3.8798, -6.7156, 0.0000], [3.8798, 6.7156, 0.0000], [-2.5933, 0.0000, 7.3271]],
  "species": ["Li", "Ca", "Ca", "Ca", "Pu", "Pu", "Te", "Te", "Te", "Te", "Te", "Te"],
  "fractional_positions": [[0.0000, 0.0000, 0.0000], [0.1676, 0.8324, 0.5000], [0.5000, 0.5000, 0.5000], [0.8324, 0.1676, 0.5000], [0.3335, 0.6665, 0.0000], [0.6665, 0.3335, 0.0000], [0.0816, 0.4130, 0.2448], [0.2497, 0.2497, 0.7528], [0.4130, 0.0816, 0.2448], [0.5870, 0.9184, 0.7552], [0.7503, 0.7503, 0.2472], [0.9184, 0.5870, 0.7552]],
  "e_form_raw_mev_per_atom": -1328,
  "space_group": "No. 12"
}

Number 1: magnetization 6.1 Bohr magnetons per cell. Number 2: magnetization 6.1 Bohr magnetons per cell. Number 3: magnetization 5.0 Bohr magnetons per cell. Number 4: magnetization 11.0 Bohr magnetons per cell.